[1]
The following is a PBE-GGA calculation of an optimized crystal structure of BeAlCr2, from Alexandria.

The total energy is -6.1760 eV/atom.

It has space group I-42d (No. 122), with a = 3.379 Å, b = 3.379 Å, c = 17.463 Å, α = 90.00°, β = 90.00° and γ = 90.00°. The inequivalent atoms are Be at (0.000, 0.000, 0.000), Al at (0.000, 0.000, 0.500) and Cr at (0.234, 0.750, 0.125).

---

[2]
The following is a PBE-GGA calculation of an optimized crystal structure of BeAl2Cr, from Alexandria.

The total energy is -5.0265 eV/atom.

It has space group R-3m (No. 166, hexagonal axes), with a = 2.7040 Å, b = 2.7040 Å, c = 24.6574 Å, α = 90.00°, β = 90.00° and γ = 120.00°. The inequivalent atoms are Be at (0.0000, 0.0000, 0.0000), Al at (0.0000, 0.0000, 0.2529) and Cr at (0.0000, 0.0000, 0.5000).

---

[3]
The following is a PBE-GGA calculation of an optimized crystal structure of BeAlCr, from Alexandria.

The calculation puts the distance to the lowest polymorph of the same formula at 0.000 eV/atom.

It has space group Ama2 (No. 40), with a = 3.920 Å, b = 4.175 Å, c = 8.544 Å, α = 90.00°, β = 90.00° and γ = 90.00°. The inequivalent atoms are Be at (0.250, 0.163, 0.000), Al at (0.250, 0.200, 0.329) and Cr at (0.250, 0.171, 0.641).

---

[4]
The following is a PBE-GGA calculation of an optimized crystal structure of BeAl2Cr, from Alexandria.

The total energy is -5.2862 eV/atom.

It has space group I4/mmm (No. 139), with a = 3.576 Å, b = 3.576 Å, c = 7.799 Å, α = 90.00°, β = 90.00° and γ = 90.00°. The inequivalent atoms are Be at (0.000, 0.000, 0.000), Al at (0.000, 0.500, 0.250) and Cr at (0.000, 0.000, 0.500).

---

[5]
The following is a PBE-GGA calculation of an optimized crystal structure of BeAl2Cr, from Alexandria.

The total energy is -5.0201 eV/atom.

It has space group R3m (No. 160, hexagonal axes), with a = 2.7093 Å, b = 2.7093 Å, c = 24.7284 Å, α = 90.00°, β = 90.00° and γ = 120.00°. The inequivalent atoms are Be at (0.0000, 0.0000, 0.0000), Al at (0.0000, 0.0000, 0.5091), Al at (0.0000, 0.0000, 0.7475) and Cr at (0.0000, 0.0000, 0.2594).

---

[6]
The following is a PBE-GGA calculation of an optimized crystal structure of Be2AlCr, from Alexandria.

The total energy is -5.0851 eV/atom.

It has space group P4/mmm (No. 123), with a = 2.947 Å, b = 2.947 Å, c = 5.190 Å, α = 90.00°, β = 90.00° and γ = 90.00°. The inequivalent atoms are Be at (0.000, 0.000, 0.222), Al at (0.500, 0.500, 0.500) and Cr at (0.500, 0.500, 0.000).

---

[7]
The following is a PBE-GGA calculation of an optimized crystal structure of BeAlCr2, from Alexandria.

The total energy is -6.6406 eV/atom.

It has space group P2/m (No. 10), with a = 2.479 Å, b = 3.918 Å, c = 4.872 Å, α = 90.00°, β = 102.57° and γ = 90.00°. The inequivalent atoms are Be at (0.000, 0.000, 0.000), Al at (0.000, 0.000, 0.500) and Cr at (0.478, 0.500, 0.236).

---

[8]
The following is a PBE-GGA calculation of an optimized crystal structure of Be2AlCr, from Alexandria.

The total energy is -5.2466 eV/atom.

It has space group P4/mmm (No. 123), with a = 3.558 Å, b = 3.558 Å, c = 3.360 Å, α = 90.00°, β = 90.00° and γ = 90.00°. The inequivalent atoms are Be at (0.000, 0.500, 0.000), Al at (0.000, 0.000, 0.500) and Cr at (0.500, 0.500, 0.500).

---

[9]
The following is a PBE-GGA calculation of an optimized crystal structure of Be2AlCr2, from Alexandria.

The calculation puts the distance to the lowest polymorph of the same formula at 0.400 eV/atom.

It has space group I4/mmm (No. 139), with a = 3.399 Å, b = 3.399 Å, c = 9.957 Å, α = 90.00°, β = 90.00° and γ = 90.00°. The inequivalent atoms are Be at (0.000, 0.000, 0.098), Al at (0.000, 0.000, 0.500) and Cr at (0.000, 0.500, 0.250).

---

[10]
The following is a PBE-GGA calculation of an optimized crystal structure of Be9Al2Cr, from Alexandria.

The total energy is -4.2539 eV/atom.

It has space group R-3m (No. 166, hexagonal axes), with a = 4.3255 Å, b = 4.3255 Å, c = 20.5806 Å, α = 90.00°, β = 90.00° and γ = 120.00°. The inequivalent atoms are Be at (0.0000, 0.0000, 0.0000), Be at (0.0000, 0.0000, 0.1679), Be at (0.9995, 0.4998, 0.4199), Al at (0.0000, 0.0000, 0.3618) and Cr at (0.0000, 0.0000, 0.5000).

---

[11]
The following is a PBE-GGA calculation of an optimized crystal structure of BeAl2Cr, from Alexandria.

The total energy is -5.3165 eV/atom.

It has space group I-4m2 (No. 119), with a = 3.518 Å, b = 3.518 Å, c = 7.970 Å, α = 90.00°, β = 90.00° and γ = 90.00°. The inequivalent atoms are Be at (0.000, 0.000, 0.000), Al at (0.000, 0.000, 0.500), Al at (0.000, 0.500, 0.750) and Cr at (0.000, 0.500, 0.250).

---

[12]
The following is a PBE-GGA calculation of an optimized crystal structure of Be2AlCr, from Alexandria.

The total energy is -5.0825 eV/atom.

It has space group P2/m (No. 10), with a = 2.454 Å, b = 3.922 Å, c = 4.659 Å, α = 90.00°, β = 97.54° and γ = 90.00°. The inequivalent atoms are Be at (0.204, 0.000, 0.209), Al at (0.000, 0.500, 0.500) and Cr at (0.500, 0.500, 0.000).